Record 1
Compound: BaCuRh
Source: Alexandria
Functional: PBE
Structure: relaxed

The space group is F-43m (No. 216) and the conventional cell measures 6.856, 6.856 and 6.856 Å, with angles of 90.00, 90.00 and 90.00 degrees. Symmetry generates all atoms from Ba at (0.000, 0.000, 0.000), Cu at (0.250, 0.250, 0.750) and Rh at (0.250, 0.250, 0.250).

The value obtained for the calculated density is 6260 kg/m³. The energy relative to the lowest polymorph listed for this composition is 0.907 eV/atom. The formation energy is 19.77 kcal/mol of atoms.


Record 2
Compound: GaFe3
Source: Alexandria
Functional: PBE
Structure: relaxed

The space group is Pmm2 (No. 25) and the conventional cell measures 2.506, 2.516 and 7.906 Å, with angles of 90.00, 90.00 and 90.00 degrees. Symmetry generates all atoms from Ga at (0.000, 0.000, 0.000), Fe at (0.000, 0.500, 0.509), Fe at (0.500, 0.000, 0.725) and Fe at (0.500, 0.500, 0.246).

The value obtained for the calculated density is 7904 kg/m³. The formation energy is 5.61 kcal/mol of atoms.


Q: Which of these has the lowest calculated density?
A: BaCuRh